This record from Alexandria via LeMat-Bulk describes a relaxed structure of GdCuNiHg. The functional is PBE-GGA.

Its formation enthalpy at 0 K is -0.1734 eV per atom.

It has space group F-43m (No. 216), with a = 6.623 Å, b = 6.623 Å, c = 6.623 Å, α = 90.00°, β = 90.00° and γ = 90.00°. Symmetry generates all atoms from Gd at (0.000, 0.000, 0.000), Cu at (0.250, 0.250, 0.250), Ni at (0.250, 0.250, 0.750) and Hg at (0.000, 0.000, 0.500).

---

This record from Alexandria via LeMat-Bulk describes a relaxed structure of PrZnAsBr. The functional is PBE-GGA.

The uncorrected formation energy comes out at -4.11 eV/f.u.

It has space group R-3m (No. 166, hexagonal axes), with a = 4.3023 Å, b = 4.3023 Å, c = 41.9821 Å, α = 90.00°, β = 90.00° and γ = 120.00°. Symmetry generates all atoms from Pr at (0.0000, 0.0000, 0.0798), Zn at (0.0000, 0.0000, 0.3084), As at (0.0000, 0.0000, 0.3699) and Br at (0.0000, 0.0000, 0.2105).

---

This record from Alexandria via LeMat-Bulk describes a relaxed structure of Ba4YRu. The functional is PBE-GGA.

Its formation enthalpy at 0 K is 1.0899 eV per atom.

It has space group F-43m (No. 216), with a = 10.027 Å, b = 10.027 Å, c = 10.027 Å, α = 90.00°, β = 90.00° and γ = 90.00°. Symmetry generates all atoms from Ba at (0.124, 0.124, 0.124), Y at (0.000, 0.000, 0.500) and Ru at (0.250, 0.250, 0.750).

---

This record from Alexandria via LeMat-Bulk describes a relaxed structure of Dy4Ho2Th. The functional is PBE-GGA.

Its formation enthalpy at 0 K is 0.0880 eV per atom.

It has space group R-3m (No. 166, hexagonal axes), with a = 3.5326 Å, b = 3.5326 Å, c = 62.3673 Å, α = 90.00°, β = 90.00° and γ = 120.00°. Symmetry generates all atoms from Dy at (0.0000, 0.0000, 0.1433), Dy at (0.0000, 0.0000, 0.2887), Ho at (0.0000, 0.0000, 0.2347) and Th at (0.0000, 0.0000, 0.0000).

---

This record from Alexandria via LeMat-Bulk describes a relaxed structure of CdGaNF2. The functional is PBE-GGA.

The uncorrected formation energy comes out at -2.05 eV/f.u.

It has space group P4/mmm (No. 123), with a = 4.553 Å, b = 4.553 Å, c = 4.394 Å, α = 90.00°, β = 90.00° and γ = 90.00°. Symmetry generates all atoms from Cd at (0.000, 0.000, 0.000), Ga at (0.500, 0.500, 0.500), N at (0.000, 0.000, 0.500) and F at (0.000, 0.500, 0.000).

---

This record from Alexandria via LeMat-Bulk describes a relaxed structure of SrLaTl. The functional is PBE-GGA.

Its formation enthalpy at 0 K is -0.2101 eV per atom.

It has space group Cmcm (No. 63), with a = 5.736 Å, b = 13.956 Å, c = 5.743 Å, α = 90.00°, β = 90.00° and γ = 90.00°. Symmetry generates all atoms from Sr at (0.000, 0.100, 0.250), La at (0.000, 0.373, 0.250) and Tl at (0.000, 0.246, 0.750).

---

This record from Alexandria via LeMat-Bulk describes a relaxed structure of MnGePN. The functional is PBE-GGA.

The uncorrected formation energy comes out at 0.66 eV/f.u.

It has space group Cm (No. 8), with a = 6.665 Å, b = 2.652 Å, c = 6.363 Å, α = 90.00°, β = 109.37° and γ = 90.00°. Symmetry generates all atoms from Mn at (0.000, 0.000, 0.000), Ge at (0.087, 0.500, 0.698), P at (0.284, 0.000, 0.336) and N at (0.338, 0.000, 0.094).

---

This record from Alexandria via LeMat-Bulk describes a relaxed structure of Nd4SnSb2. The functional is PBE-GGA.

The uncorrected formation energy comes out at -6.71 eV/f.u.

It has space group I-42d (No. 122), with a = 9.539 Å, b = 9.539 Å, c = 9.551 Å, α = 90.00°, β = 90.00° and γ = 90.00°. Symmetry generates all atoms from Nd at (0.070, 0.178, 0.304), Sn at (0.000, 0.000, 0.000) and Sb at (0.125, 0.250, 0.625).

---

This record from Alexandria via LeMat-Bulk describes a relaxed structure of Li3HoEr2Se6. The functional is PBE-GGA.

The uncorrected formation energy comes out at -20.37 eV/f.u.

It has space group C2/m (No. 12), with a = 7.001 Å, b = 12.127 Å, c = 6.896 Å, α = 90.00°, β = 109.78° and γ = 90.00°. Symmetry generates all atoms from Li at (0.000, 0.000, 0.000), Li at (0.000, 0.333, 0.000), Ho at (0.000, 0.500, 0.500), Er at (0.000, 0.167, 0.500), Se at (0.249, 0.167, 0.248) and Se at (0.250, 0.000, 0.752).

---

This record from Alexandria via LeMat-Bulk describes a relaxed structure of Mn2PtSe. The functional is PBE-GGA.

The uncorrected formation energy comes out at -0.17 eV/f.u.

It has space group Cmmm (No. 65), with a = 5.704 Å, b = 7.043 Å, c = 3.185 Å, α = 90.00°, β = 90.00° and γ = 90.00°. Symmetry generates all atoms from Mn at (0.250, 0.250, 0.000), Pt at (0.000, 0.000, 0.500) and Se at (0.000, 0.500, 0.500).

---

This record from Alexandria via LeMat-Bulk describes a relaxed structure of MnCrCo2. The functional is PBE-GGA.

Its formation enthalpy at 0 K is 0.0841 eV per atom.

It has space group Cm (No. 8), with a = 8.154 Å, b = 2.451 Å, c = 4.346 Å, α = 90.00°, β = 99.21° and γ = 90.00°. Symmetry generates all atoms from Mn at (0.000, 0.000, 0.000), Cr at (0.255, 0.500, 0.286), Co at (0.004, 0.500, 0.515) and Co at (0.255, 0.000, 0.784).

---

This record from Alexandria via LeMat-Bulk describes a relaxed structure of InHPdPt. The functional is PBE-GGA.

Its final energy is -36.7 eV per cell.

It has space group Cm (No. 8), with a = 10.394 Å, b = 3.398 Å, c = 3.289 Å, α = 90.00°, β = 108.34° and γ = 90.00°. Symmetry generates all atoms from In at (0.000, 0.000, 0.000), H at (0.243, 0.500, 0.242), Pd at (0.348, 0.000, 0.349) and Pt at (0.156, 0.500, 0.656).

---

no.,spin magnetization (μB/atom),V (Å³ per cell)
1,1.798,290.5
2,0.000,673.0
3,0.401,1008.0
4,0.001,674.0
5,0.398,91.1
6,0.000,459.8
7,0.373,106.1
8,0.000,869.1
9,0.000,551.0
10,2.056,128.0
11,0.000,85.7
12,0.000,110.3